Record 1
## La2ErPa2Rh5 (PBE-GGA)

Data for an optimized crystal structure of La2ErPa2Rh5.

Unit cell a=3.574 b=11.088 c=11.088 alpha=90.00 beta=90.00 gamma=90.00
Fractional positions:
La  0.000  0.668  0.168
La  0.000  0.832  0.668
La  0.000  0.332  0.832
La  0.000  0.168  0.332
Rh  0.500  0.000  0.500
Rh  0.500  0.560  0.697
Rh  0.500  0.803  0.940
Rh  0.500  0.060  0.803
Rh  0.500  0.197  0.060
Rh  0.500  0.697  0.440
Rh  0.500  0.500  0.000
Rh  0.500  0.940  0.197
Rh  0.500  0.440  0.303
Rh  0.500  0.303  0.560
Er  0.000  0.500  0.500
Er  0.000  0.000  0.000
Pa  0.000  0.859  0.359
Pa  0.000  0.359  0.141
Pa  0.000  0.641  0.859
Pa  0.000  0.141  0.641

Calculated formation energy   -663 meV/atom
Symmetry   P4/mbm


Record 2
## NiHgBPC (PBE-GGA)

Data for an optimized crystal structure of NiHgBPC.

Unit cell a=3.123 b=4.399 c=6.191 alpha=85.61 beta=75.48 gamma=69.26
Fractional positions:
C  0.716  0.198  0.075
P  0.854  0.808  0.189
Hg  0.631  0.791  0.648
Ni  0.222  0.354  0.906
B  0.511  0.555  0.128

Energy above the lowest structure with this stoichiometry   0.32 eV per formula unit
Calculated formation energy   340 meV/atom
Symmetry   P1


Record 3
## Hg2PSe (PBE-GGA)

Data for an optimized crystal structure of Hg2PSe.

Unit cell a=4.970 b=4.970 c=4.970 alpha=60.00 beta=60.00 gamma=60.00
Fractional positions:
Hg  0.000  0.000  0.000
Hg  0.750  0.750  0.750
Se  0.250  0.250  0.250
P  0.500  0.500  0.500

ΔE_f (raw)   54.1 kJ/mol of atoms
Symmetry   F-43m


Record 4
## CsHoTl2 (PBE-GGA)

Data for an optimized crystal structure of CsHoTl2.

Unit cell a=3.912 b=3.912 c=9.264 alpha=90.00 beta=90.00 gamma=90.00
Fractional positions:
Cs  0.500  0.500  0.500
Tl  0.000  0.000  0.811
Tl  0.000  0.000  0.189
Ho  0.500  0.500  0.000

Energy above the lowest structure with this stoichiometry   0.00 eV per formula unit
Calculated formation energy   -167 meV/atom
Symmetry   P4/mmm


Record 5
## Tm3PtAu2 (PBE-GGA)

Data for an optimized crystal structure of Tm3PtAu2.

Unit cell a=3.503 b=3.503 c=10.656 alpha=90.00 beta=90.00 gamma=90.00
Fractional positions:
Tm  0.000  0.000  0.658
Tm  0.000  0.000  0.000
Tm  0.000  0.000  0.342
Pt  0.500  0.500  0.500
Au  0.500  0.500  0.168
Au  0.500  0.500  0.832

Energy above the lowest structure with this stoichiometry   0.00 eV per formula unit
Calculated formation energy   -1027 meV/atom
Symmetry   P4/mmm


Record 6
## CaGaSeCl2 (PBE-GGA)

Data for an optimized crystal structure of CaGaSeCl2.

Unit cell a=5.790 b=5.259 c=5.790 alpha=90.00 beta=90.00 gamma=90.00
Fractional positions:
Ga  0.500  0.500  0.500
Se  0.000  0.000  0.000
Cl  0.500  0.000  0.000
Cl  0.000  0.000  0.500
Ca  0.000  0.500  0.000

ΔE_f (raw)   -31.7 kJ/mol of atoms
Symmetry   P4/mmm


Record 7
## TlFeAs4 (PBE-GGA)

Data for an optimized crystal structure of TlFeAs4.

Unit cell a=5.649 b=5.649 c=5.649 alpha=60.00 beta=60.00 gamma=60.00
Site moments in Bohr magnetons follow the coordinates.
Fractional positions:
As  0.376  0.376  0.376  0.01
As  0.376  0.376  0.873  0.01
As  0.376  0.873  0.376  0.01
As  0.873  0.376  0.376  0.01
Tl  0.000  0.000  0.000  0.01
Fe  0.750  0.750  0.750  3.20

Calculated formation energy   590 meV/atom
Symmetry   F-43m


Record 8
## Pm2Ga4Cu5 (PBE-GGA)

Data for an optimized crystal structure of Pm2Ga4Cu5.

Unit cell a=5.557 b=5.500 c=7.878 alpha=79.74 beta=69.35 gamma=59.66
Fractional positions:
Pm  0.861  0.000  0.278
Pm  0.139  0.000  0.722
Cu  0.750  0.500  0.500
Cu  0.500  0.500  0.000
Cu  0.500  0.000  0.000
Cu  0.250  0.500  0.500
Cu  0.000  0.500  0.000
Ga  0.477  0.306  0.740
Ga  0.217  0.306  0.260
Ga  0.783  0.694  0.740
Ga  0.523  0.694  0.260

Calculated formation energy   -311 meV/atom
Symmetry   Fmmm


Record 9
## Sc2CuPd3 (PBE-GGA)

Data for an optimized crystal structure of Sc2CuPd3.

Unit cell a=4.553 b=4.553 c=11.107 alpha=90.00 beta=90.00 gamma=120.00
Fractional positions:
Sc  0.000  0.000  0.500
Sc  0.333  0.667  0.186
Sc  0.000  0.000  0.000
Sc  0.667  0.333  0.814
Pd  0.000  0.000  0.252
Pd  0.667  0.333  0.573
Pd  0.333  0.667  0.427
Pd  0.000  0.000  0.748
Pd  0.333  0.667  0.919
Pd  0.667  0.333  0.081
Cu  0.667  0.333  0.330
Cu  0.333  0.667  0.670

Energy above the lowest structure with this stoichiometry   0.00 eV per formula unit
Calculated formation energy   -721 meV/atom
Symmetry   P-3m1


Record 10
## YTm2Ru9 (PBE-GGA)

Data for an optimized crystal structure of YTm2Ru9.

Unit cell a=5.256 b=5.256 c=9.182 alpha=73.37 beta=73.37 gamma=60.00
Site moments in Bohr magnetons follow the coordinates.
Fractional positions:
Tm  0.140  0.140  0.581  0.00
Tm  0.860  0.860  0.419  0.00
Ru  0.411  0.927  0.250  0.02
Ru  0.589  0.073  0.750  0.02
Ru  0.500  0.500  0.500  0.04
Ru  0.927  0.411  0.250  0.02
Ru  0.073  0.589  0.750  0.02
Ru  0.411  0.411  0.250  0.02
Ru  0.589  0.589  0.750  0.02
Ru  0.662  0.662  0.014  0.29
Ru  0.338  0.338  0.986  0.29
Y  0.000  0.000  0.000  0.00

Calculated formation energy   -156 meV/atom
Symmetry   R-3m


Record 11
## LaCrSbPt2 (PBE-GGA)

Data for an optimized crystal structure of LaCrSbPt2.

Unit cell a=5.023 b=5.814 c=5.023 alpha=90.00 beta=90.00 gamma=90.00
Site moments in Bohr magnetons follow the coordinates.
Fractional positions:
Cr  0.500  0.500  0.500  4.15
Pt  0.000  0.000  0.500  0.03
Pt  0.500  0.000  0.000  0.01
La  0.000  0.500  0.000  0.08
Sb  0.000  0.000  0.000  0.00

ΔE_f (raw)   61.8 kJ/mol of atoms
Symmetry   P4/mmm


Record 12
## NaFe2Ir2 (PBE-GGA)

Data for an optimized crystal structure of NaFe2Ir2.

Unit cell a=7.562 b=7.562 c=2.651 alpha=90.00 beta=90.00 gamma=90.00
Site moments in Bohr magnetons follow the coordinates.
Fractional positions:
Na  0.500  0.500  0.000  -0.01
Na  0.000  0.000  0.000  -0.01
Fe  0.345  0.845  0.000  2.60
Fe  0.155  0.345  0.000  2.62
Fe  0.845  0.655  0.000  2.62
Fe  0.655  0.155  0.000  2.60
Ir  0.639  0.861  0.500  0.29
Ir  0.861  0.361  0.500  0.28
Ir  0.139  0.639  0.500  0.28
Ir  0.361  0.139  0.500  0.29

Energy above the lowest structure with this stoichiometry   0.00 eV per formula unit
Calculated formation energy   140 meV/atom
Symmetry   P4/mbm


In eV/f.u., the uncorrected energy values for the records above are, in order, -76.8; -25.7; -7.3; -10.8; -32.2; -13.8; -25.9; -45.5; -36.7; -100.8; -27.6; -35.3.
In Mg/m³, the ρ values for the records above are, in order, 10.75; 6.75; 9.77; 8.28; 13.92; 2.45; 7.30; 7.57; 7.87; 10.70; 7.96; 11.37.